Entry 1:
## BaCd2Ga4 (PBE)

Data for a relaxed structure of BaCd2Ga4.

The structure in CIF format:
```
data_BaCd2Ga4
_chemical_formula_sum 'Ba4 Cd8 Ga16'
_space_group_name_H-M_alt 'C 1 2/c 1'
_space_group_IT_number 15
_cell_length_a 16.445
_cell_length_b 6.568
_cell_length_c 6.310
_cell_angle_alpha 90.00
_cell_angle_beta 101.33
_cell_angle_gamma 90.00
loop_
_space_group_symop_operation_xyz
'x,y,z'
'-x,-y,-z'
'-x,y,-z+1/2'
'x,-y,z+1/2'
'x+1/2,y+1/2,z'
'-x+1/2,-y+1/2,-z'
'-x+1/2,y+1/2,-z+1/2'
'x+1/2,-y+1/2,z+1/2'
loop_
_atom_site_label
_atom_site_fract_x
_atom_site_fract_y
_atom_site_fract_z
Ba1 0.000 0.246 0.250
Cd1 0.188 0.016 0.588
Ga1 0.083 0.253 0.796
Ga2 0.167 0.500 0.088
```

Computed properties:
For the total DFT energy (no corrections), the calculation gives -2.51 eV/atom. As for the mass density: 6.37 Mg/m³. As for the formation energy: -0.244 eV per atom.



Entry 2:
## Ba2CdGa (PBE)

Data for a relaxed structure of Ba2CdGa.

The structure in CIF format:
```
data_Ba2CdGa
_chemical_formula_sum 'Ba8 Cd4 Ga4'
_space_group_name_H-M_alt 'I -4 2 d'
_space_group_IT_number 122
_space_group_name_Hall 'I -4 2bw'
_cell_length_a 5.758
_cell_length_b 5.758
_cell_length_c 21.758
_cell_angle_alpha 90.00
_cell_angle_beta 90.00
_cell_angle_gamma 90.00
loop_
_atom_site_label
_atom_site_fract_x
_atom_site_fract_y
_atom_site_fract_z
Ba1 0.242 0.250 0.125
Cd1 0.000 0.000 0.500
Ga1 0.000 0.000 0.000
```

Computed properties:
For the total DFT energy (no corrections), the calculation gives -1.80 eV/atom. As for the mass density: 4.21 Mg/m³. As for the formation energy: 0.149 eV per atom.



Entry 3:
## Ba2Cd2Ga (PBE)

Data for a relaxed structure of Ba2Cd2Ga.

The structure in CIF format:
```
data_Ba2Cd2Ga
_chemical_formula_sum 'Ba4 Cd4 Ga2'
_space_group_name_H-M_alt 'I 4/m m m'
_space_group_IT_number 139
_space_group_name_Hall '-I 4 2'
_cell_length_a 4.195
_cell_length_b 4.195
_cell_length_c 20.414
_cell_angle_alpha 90.00
_cell_angle_beta 90.00
_cell_angle_gamma 90.00
loop_
_atom_site_label
_atom_site_fract_x
_atom_site_fract_y
_atom_site_fract_z
Ba1 0.000 0.000 0.095
Cd1 0.000 0.500 0.250
Ga1 0.000 0.000 0.500
```

Computed properties:
Its polymorph energy (0 for the lowest one) is 137.2 meV/atom. For the total DFT energy (no corrections), the calculation gives -1.93 eV/atom. As for the mass density: 5.26 Mg/m³. As for the formation energy: -0.187 eV per atom.



Entry 4:
## Ba3Cd3Ga8 (PBE)

Data for a relaxed structure of Ba3Cd3Ga8.

The structure in CIF format:
```
data_Ba3Cd3Ga8
_chemical_formula_sum 'Ba6 Cd6 Ga16'
_space_group_name_H-M_alt 'C 1 2/m 1'
_space_group_IT_number 12
_cell_length_a 17.348
_cell_length_b 4.429
_cell_length_c 10.843
_cell_angle_alpha 90.00
_cell_angle_beta 119.02
_cell_angle_gamma 90.00
loop_
_space_group_symop_operation_xyz
'x,y,z'
'-x,-y,-z'
'-x,y,-z'
'x,-y,z'
'x+1/2,y+1/2,z'
'-x+1/2,-y+1/2,-z'
'-x+1/2,y+1/2,-z'
'x+1/2,-y+1/2,z'
loop_
_atom_site_label
_atom_site_fract_x
_atom_site_fract_y
_atom_site_fract_z
Ba1 0.000 0.000 0.000
Ba2 0.198 0.500 0.648
Cd1 0.000 0.000 0.500
Cd2 0.186 0.500 0.046
Ga1 0.030 0.500 0.757
Ga2 0.105 0.000 0.372
Ga3 0.129 0.000 0.828
Ga4 0.130 0.500 0.268
```

Computed properties:
For the total DFT energy (no corrections), the calculation gives -2.65 eV/atom. As for the mass density: 5.96 Mg/m³. As for the formation energy: -0.316 eV per atom.



Entry 5:
## Ba2Cd2Ga (PBE)

Data for a relaxed structure of Ba2Cd2Ga.

The structure in CIF format:
```
data_Ba2Cd2Ga
_chemical_formula_sum 'Ba4 Cd4 Ga2'
_space_group_name_H-M_alt 'P 4/m b m'
_space_group_IT_number 127
_space_group_name_Hall '-P 4 2ab'
_cell_length_a 9.564
_cell_length_b 9.564
_cell_length_c 4.233
_cell_angle_alpha 90.00
_cell_angle_beta 90.00
_cell_angle_gamma 90.00
loop_
_atom_site_label
_atom_site_fract_x
_atom_site_fract_y
_atom_site_fract_z
Ba1 0.174 0.326 0.000
Cd1 0.120 0.620 0.500
Ga1 0.000 0.000 0.000
```

Computed properties:
Its polymorph energy (0 for the lowest one) is 286.2 meV/atom. For the total DFT energy (no corrections), the calculation gives -1.78 eV/atom. As for the mass density: 4.88 Mg/m³. As for the formation energy: -0.038 eV per atom.



Entry 6:
## BaCd11Ga (PBE)

Data for a relaxed structure of BaCd11Ga.

The structure in CIF format:
```
data_BaCd11Ga
_chemical_formula_sum 'Ba2 Cd22 Ga2'
_space_group_name_H-M_alt 'C 1 2/m 1'
_space_group_IT_number 12
_cell_length_a 6.049
_cell_length_b 14.333
_cell_length_c 7.766
_cell_angle_alpha 90.00
_cell_angle_beta 112.20
_cell_angle_gamma 90.00
loop_
_space_group_symop_operation_xyz
'x,y,z'
'-x,-y,-z'
'-x,y,-z'
'x,-y,z'
'x+1/2,y+1/2,z'
'-x+1/2,-y+1/2,-z'
'-x+1/2,y+1/2,-z'
'x+1/2,-y+1/2,z'
loop_
_atom_site_label
_atom_site_fract_x
_atom_site_fract_y
_atom_site_fract_z
Ba1 0.000 0.000 0.000
Cd1 0.000 0.000 0.500
Cd2 0.107 0.391 0.222
Cd3 0.180 0.177 0.356
Cd4 0.250 0.250 0.000
Ga1 0.000 0.500 0.500
```

Computed properties:
For the total DFT energy (no corrections), the calculation gives -1.28 eV/atom. As for the mass density: 7.69 Mg/m³. As for the formation energy: -0.128 eV per atom.



Entry 7:
## Ba2Cd2Ga (PBE)

Data for a relaxed structure of Ba2Cd2Ga.

The structure in CIF format:
```
data_Ba2Cd2Ga
_chemical_formula_sum 'Ba4 Cd4 Ga2'
_space_group_name_H-M_alt 'P -1'
_space_group_IT_number 2
_cell_length_a 5.042
_cell_length_b 6.622
_cell_length_c 11.413
_cell_angle_alpha 85.56
_cell_angle_beta 77.24
_cell_angle_gamma 67.73
loop_
_space_group_symop_operation_xyz
'x,y,z'
'-x,-y,-z'
loop_
_atom_site_label
_atom_site_fract_x
_atom_site_fract_y
_atom_site_fract_z
Ba1 0.086 0.210 0.117
Ba2 0.322 0.201 0.654
Cd1 0.089 0.762 0.560
Cd2 0.379 0.620 0.120
Ga1 0.377 0.396 0.349
```

Computed properties:
Its polymorph energy (0 for the lowest one) is 0.0 meV/atom. For the total DFT energy (no corrections), the calculation gives -2.06 eV/atom. As for the mass density: 5.50 Mg/m³. As for the formation energy: -0.324 eV per atom.



Entry 8:
## Ba3CdGa (PBE)

Data for a relaxed structure of Ba3CdGa.

The structure in CIF format:
```
data_Ba3CdGa
_chemical_formula_sum 'Ba12 Cd4 Ga4'
_space_group_name_H-M_alt 'C m c m'
_space_group_IT_number 63
_space_group_name_Hall '-C 2c 2'
_cell_length_a 5.975
_cell_length_b 23.366
_cell_length_c 5.974
_cell_angle_alpha 90.00
_cell_angle_beta 90.00
_cell_angle_gamma 90.00
loop_
_atom_site_label
_atom_site_fract_x
_atom_site_fract_y
_atom_site_fract_z
Ba1 0.000 0.077 0.250
Ba2 0.000 0.249 0.250
Ba3 0.000 0.421 0.250
Cd1 0.000 0.339 0.750
Ga1 0.000 0.158 0.750
```

Computed properties:
Its polymorph energy (0 for the lowest one) is 0.0 meV/atom. For the total DFT energy (no corrections), the calculation gives -2.22 eV/atom. As for the mass density: 4.73 Mg/m³. As for the formation energy: -0.280 eV per atom.



Entry 9:
## Ba5CdGa2 (PBE)

Data for a relaxed structure of Ba5CdGa2.

The structure in CIF format:
```
data_Ba5CdGa2
_chemical_formula_sum 'Ba20 Cd4 Ga8'
_space_group_name_H-M_alt 'I 4/m c m'
_space_group_IT_number 140
_space_group_name_Hall '-I 4 2c'
_cell_length_a 8.725
_cell_length_b 8.725
_cell_length_c 18.015
_cell_angle_alpha 90.00
_cell_angle_beta 90.00
_cell_angle_gamma 90.00
loop_
_atom_site_label
_atom_site_fract_x
_atom_site_fract_y
_atom_site_fract_z
Ba1 0.000 0.000 0.000
Ba2 0.173 0.327 0.141
Cd1 0.000 0.000 0.250
Ga1 0.105 0.395 0.500
```

Computed properties:
For the total DFT energy (no corrections), the calculation gives -2.34 eV/atom. As for the mass density: 4.55 Mg/m³. As for the formation energy: -0.264 eV per atom.



Entry 10:
## BaCdGa2 (PBE)

Data for a relaxed structure of BaCdGa2.

The structure in CIF format:
```
data_BaCdGa2
_chemical_formula_sum 'Ba3 Cd3 Ga6'
_space_group_name_H-M_alt 'R -3 m'
_space_group_IT_number 166
_space_group_name_Hall '-R 3 2"'
_cell_length_a 4.6529
_cell_length_b 4.6529
_cell_length_c 18.1271
_cell_angle_alpha 90.00
_cell_angle_beta 90.00
_cell_angle_gamma 120.00
loop_
_atom_site_label
_atom_site_fract_x
_atom_site_fract_y
_atom_site_fract_z
Ba1 0.0000 0.0000 0.0000
Cd1 0.0000 0.0000 0.5000
Ga1 0.0000 0.0000 0.2140
```

Computed properties:
For the total DFT energy (no corrections), the calculation gives -2.53 eV/atom. As for the mass density: 5.70 Mg/m³. As for the formation energy: -0.304 eV per atom.



Entry 11:
## Ba2Cd3Ga2 (PBE)

Data for a relaxed structure of Ba2Cd3Ga2.

The structure in CIF format:
```
data_Ba2Cd3Ga2
_chemical_formula_sum 'Ba4 Cd6 Ga4'
_space_group_name_H-M_alt 'C m m m'
_space_group_IT_number 65
_space_group_name_Hall '-C 2 2'
_cell_length_a 4.445
_cell_length_b 24.908
_cell_length_c 3.819
_cell_angle_alpha 90.00
_cell_angle_beta 90.00
_cell_angle_gamma 90.00
loop_
_atom_site_label
_atom_site_fract_x
_atom_site_fract_y
_atom_site_fract_z
Ba1 0.000 0.151 0.000
Cd1 0.000 0.000 0.000
Cd2 0.000 0.440 0.500
Ga1 0.000 0.275 0.500
```

Computed properties:
For the total DFT energy (no corrections), the calculation gives -2.05 eV/atom. As for the mass density: 5.90 Mg/m³. As for the formation energy: -0.242 eV per atom.



Entry 12:
## BaCd4Ga4 (PBE)

Data for a relaxed structure of BaCd4Ga4.

The structure in CIF format:
```
data_BaCd4Ga4
_chemical_formula_sum 'Ba2 Cd8 Ga8'
_space_group_name_H-M_alt 'P 42/n m c'
_space_group_IT_number 137
_cell_length_a 6.457
_cell_length_b 6.457
_cell_length_c 10.461
_cell_angle_alpha 90.00
_cell_angle_beta 90.00
_cell_angle_gamma 90.00
loop_
_space_group_symop_operation_xyz
'x,y,z'
'-x,-y,-z'
'-y+1/2,x,z+1/2'
'y+1/2,-x,-z+1/2'
'-x+1/2,-y+1/2,z'
'x+1/2,y+1/2,-z'
'y,-x+1/2,z+1/2'
'-y,x+1/2,-z+1/2'
'x+1/2,-y,-z'
'-x+1/2,y,z'
'-y,-x,-z+1/2'
'y,x,z+1/2'
'-x,y+1/2,-z'
'x,-y+1/2,z'
'y+1/2,x+1/2,-z+1/2'
'-y+1/2,-x+1/2,z+1/2'
loop_
_atom_site_label
_atom_site_fract_x
_atom_site_fract_y
_atom_site_fract_z
Ba1 0.250 0.750 0.250
Cd1 0.021 0.250 0.058
Ga1 0.045 0.250 0.337
```

Computed properties:
For the total DFT energy (no corrections), the calculation gives -2.10 eV/atom. As for the mass density: 6.59 Mg/m³. As for the formation energy: -0.135 eV per atom.